--- one ---
The following is a DFT calculation (PBE) of a relaxed structure of Re.

The structure in CIF format:
```
data_Re
_cell_length_a 9.510
_cell_length_b 9.510
_cell_length_c 4.988
_cell_angle_alpha 90.00
_cell_angle_beta 90.00
_cell_angle_gamma 90.00
_symmetry_space_group_name_H-M 'P 1'
_symmetry_Int_Tables_number 1
_symmetry_space_group_name_Hall 'P 1'
loop_
_atom_site_label
_atom_site_type_symbol
_atom_site_fract_x
_atom_site_fract_y
_atom_site_fract_z
Re1 Re 0.864 0.537 0.000
Re2 Re 0.636 0.037 0.500
Re3 Re 0.817 0.817 0.252
Re4 Re 0.136 0.463 0.000
Re5 Re 0.404 0.404 0.000
Re6 Re 0.317 0.683 0.752
Re7 Re 0.364 0.963 0.500
Re8 Re 0.183 0.183 0.252
Re9 Re 0.566 0.764 0.500
Re10 Re 0.317 0.683 0.248
Re11 Re 0.764 0.566 0.500
Re12 Re 0.683 0.317 0.248
Re13 Re 0.904 0.096 0.500
Re14 Re 0.683 0.317 0.752
Re15 Re 0.934 0.264 0.000
Re16 Re 0.963 0.364 0.500
Re17 Re 0.000 0.000 0.000
Re18 Re 0.236 0.434 0.500
Re19 Re 0.096 0.904 0.500
Re20 Re 0.434 0.236 0.500
Re21 Re 0.817 0.817 0.748
Re22 Re 0.537 0.864 0.000
Re23 Re 0.066 0.736 0.000
Re24 Re 0.736 0.066 0.000
Re25 Re 0.500 0.500 0.500
Re26 Re 0.183 0.183 0.748
Re27 Re 0.596 0.596 0.000
Re28 Re 0.037 0.636 0.500
Re29 Re 0.264 0.934 0.000
Re30 Re 0.463 0.136 0.000
```

--- two ---
The following is a DFT calculation (PBE) of a relaxed structure of Re.

The structure in CIF format:
```
data_Re
_cell_length_a 2.742
_cell_length_b 2.772
_cell_length_c 4.479
_cell_angle_alpha 90.00
_cell_angle_beta 90.00
_cell_angle_gamma 60.36
_symmetry_space_group_name_H-M 'P 1'
_symmetry_Int_Tables_number 1
_symmetry_space_group_name_Hall 'P 1'
loop_
_atom_site_label
_atom_site_type_symbol
_atom_site_fract_x
_atom_site_fract_y
_atom_site_fract_z
Re1 Re 0.836 0.328 0.250
Re2 Re 0.164 0.672 0.750
```

The structure with the most favorable energy is two; the runner-up is 93 meV per atom above it.

--- one ---
The following is a DFT calculation (PBE) of a relaxed structure of Re.

The structure in CIF format:
```
data_Re
_cell_length_a 4.943
_cell_length_b 4.943
_cell_length_c 4.943
_cell_angle_alpha 90.00
_cell_angle_beta 90.00
_cell_angle_gamma 90.00
_symmetry_space_group_name_H-M 'P 1'
_symmetry_Int_Tables_number 1
_symmetry_space_group_name_Hall 'P 1'
loop_
_atom_site_label
_atom_site_type_symbol
_atom_site_fract_x
_atom_site_fract_y
_atom_site_fract_z
Re1 Re 0.500 0.750 0.000
Re2 Re 0.000 0.000 0.000
Re3 Re 0.000 0.500 0.750
Re4 Re 0.000 0.500 0.250
Re5 Re 0.250 0.000 0.500
Re6 Re 0.750 0.000 0.500
Re7 Re 0.500 0.250 0.000
Re8 Re 0.500 0.500 0.500
```

--- two ---
The following is a DFT calculation (PBE) of a relaxed structure of Re.

The structure in CIF format:
```
data_Re
_cell_length_a 2.927
_cell_length_b 4.508
_cell_length_c 5.346
_cell_angle_alpha 65.06
_cell_angle_beta 90.00
_cell_angle_gamma 90.00
_symmetry_space_group_name_H-M 'P 1'
_symmetry_Int_Tables_number 1
_symmetry_space_group_name_Hall 'P 1'
loop_
_atom_site_label
_atom_site_type_symbol
_atom_site_fract_x
_atom_site_fract_y
_atom_site_fract_z
Re1 Re 0.443 0.138 0.724
Re2 Re 0.557 0.862 0.276
Re3 Re 0.943 0.362 0.276
Re4 Re 0.057 0.638 0.724
```

--- three ---
The following is a DFT calculation (PBE) of a relaxed structure of Re.

The structure in CIF format:
```
data_Re
_cell_length_a 9.442
_cell_length_b 9.442
_cell_length_c 9.442
_cell_angle_alpha 31.07
_cell_angle_beta 31.07
_cell_angle_gamma 31.07
_symmetry_space_group_name_H-M 'P 1'
_symmetry_Int_Tables_number 1
_symmetry_space_group_name_Hall 'P 1'
loop_
_atom_site_label
_atom_site_type_symbol
_atom_site_fract_x
_atom_site_fract_y
_atom_site_fract_z
Re1 Re 0.651 0.651 0.651
Re2 Re 0.349 0.349 0.349
Re3 Re 0.091 0.091 0.582
Re4 Re 0.454 0.454 0.454
Re5 Re 0.091 0.582 0.091
Re6 Re 0.546 0.546 0.546
Re7 Re 0.582 0.091 0.091
Re8 Re 0.909 0.909 0.418
Re9 Re 0.909 0.418 0.909
Re10 Re 0.165 0.165 0.165
Re11 Re 0.835 0.835 0.835
Re12 Re 0.000 0.000 0.000
Re13 Re 0.418 0.909 0.909
```

--- four ---
The following is a DFT calculation (PBE) of a relaxed structure of Re.

The structure in CIF format:
```
data_Re
_cell_length_a 4.217
_cell_length_b 4.217
_cell_length_c 4.895
_cell_angle_alpha 90.00
_cell_angle_beta 90.00
_cell_angle_gamma 120.00
_symmetry_space_group_name_H-M 'P 1'
_symmetry_Int_Tables_number 1
_symmetry_space_group_name_Hall 'P 1'
loop_
_atom_site_label
_atom_site_type_symbol
_atom_site_fract_x
_atom_site_fract_y
_atom_site_fract_z
Re1 Re 0.000 0.000 0.250
Re2 Re 0.000 0.000 0.750
Re3 Re 0.667 0.333 0.750
Re4 Re 0.333 0.667 0.250
```

The structure with the most favorable energy is one; the runner-up is 32 meV per atom above it.

--- one ---
The following is a DFT calculation (PBE) of a relaxed structure of Re2S.

The structure in CIF format:
```
data_Re2S
_cell_length_a 5.089
_cell_length_b 5.089
_cell_length_c 3.684
_cell_angle_alpha 90.00
_cell_angle_beta 90.00
_cell_angle_gamma 90.00
_symmetry_space_group_name_H-M 'P 1'
_symmetry_Int_Tables_number 1
_symmetry_space_group_name_Hall 'P 1'
loop_
_atom_site_label
_atom_site_type_symbol
_atom_site_fract_x
_atom_site_fract_y
_atom_site_fract_z
S1 S 0.000 0.000 0.000
S2 S 0.500 0.500 0.500
Re1 Re 0.691 0.691 0.000
Re2 Re 0.309 0.309 0.000
Re3 Re 0.191 0.809 0.500
Re4 Re 0.809 0.191 0.500
```

--- two ---
The following is a DFT calculation (PBE) of a relaxed structure of Re2S.

The structure in CIF format:
```
data_Re2S
_cell_length_a 5.194
_cell_length_b 5.194
_cell_length_c 5.194
_cell_angle_alpha 60.00
_cell_angle_beta 60.00
_cell_angle_gamma 60.00
_symmetry_space_group_name_H-M 'P 1'
_symmetry_Int_Tables_number 1
_symmetry_space_group_name_Hall 'P 1'
loop_
_atom_site_label
_atom_site_type_symbol
_atom_site_fract_x
_atom_site_fract_y
_atom_site_fract_z
Re1 Re 0.625 0.625 0.625
Re2 Re 0.625 0.625 0.125
Re3 Re 0.625 0.125 0.625
Re4 Re 0.125 0.625 0.625
S1 S 0.000 0.000 0.000
S2 S 0.250 0.250 0.250
```

The structure with the most favorable energy is one; the runner-up is 325 meV per atom above it.

--- one ---
The following is a DFT calculation (PBE) of a relaxed structure of Re2SeS3.

The structure in CIF format:
```
data_Re2SeS3
_cell_length_a 5.777
_cell_length_b 3.063
_cell_length_c 7.771
_cell_angle_alpha 90.00
_cell_angle_beta 111.62
_cell_angle_gamma 90.00
_symmetry_space_group_name_H-M 'P 1'
_symmetry_Int_Tables_number 1
_symmetry_space_group_name_Hall 'P 1'
loop_
_atom_site_label
_atom_site_type_symbol
_atom_site_fract_x
_atom_site_fract_y
_atom_site_fract_z
S1 S 0.146 0.500 0.770
S2 S 0.383 0.500 0.240
S3 S 0.842 0.000 0.191
Re1 Re 0.978 0.500 0.005
Re2 Re 0.391 0.000 0.005
Se1 Se 0.642 0.000 0.789
```

--- two ---
The following is a DFT calculation (PBE) of a relaxed structure of Re2SeS3.

The structure in CIF format:
```
data_Re2SeS3
_cell_length_a 6.471
_cell_length_b 6.608
_cell_length_c 6.719
_cell_angle_alpha 91.81
_cell_angle_beta 104.56
_cell_angle_gamma 118.85
_symmetry_space_group_name_H-M 'P 1'
_symmetry_Int_Tables_number 1
_symmetry_space_group_name_Hall 'P 1'
loop_
_atom_site_label
_atom_site_type_symbol
_atom_site_fract_x
_atom_site_fract_y
_atom_site_fract_z
S1 S 0.256 0.885 0.224
S2 S 0.777 0.391 0.294
S3 S 0.271 0.154 0.741
S4 S 0.223 0.609 0.706
S5 S 0.744 0.115 0.776
S6 S 0.729 0.846 0.259
Re1 Re 0.487 0.791 0.497
Re2 Re 0.062 0.812 0.491
Re3 Re 0.938 0.188 0.509
Re4 Re 0.513 0.209 0.503
Se1 Se 0.757 0.637 0.709
Se2 Se 0.243 0.363 0.291
```

The structure with the most favorable energy is two; the runner-up is 203 meV per atom above it.